# Ta2AgIr PBE optimized geometry
# Volume: 67 Å³/cell
# DOS(E_F): 0.927 states/eV/atom
# Formation energy from the elements: -55 meV/atom
# Final energy: -8.91 eV/atom
data_Ta2AgIr
_chemical_formula_sum 'Ta2 Ag1 Ir1'
_cell_length_a 2.8656
_cell_length_b 4.6885
_cell_length_c 5.0080
_cell_angle_alpha 90.00
_cell_angle_beta 92.66
_cell_angle_gamma 90.00
_symmetry_space_group_name_H-M 'P 1'
_symmetry_Int_Tables_number 1
_symmetry_space_group_name_Hall 'P 1'
loop_
_atom_site_label
_atom_site_fract_x
_atom_site_fract_y
_atom_site_fract_z
_atom_site_occupancy
Ta1 0.0000 0.0000 0.0000 1
Ta2 0.1096 0.5000 0.6476 1
Ag1 0.5606 0.5000 0.1571 1
Ir1 0.5411 0.0000 0.5050 1

# ThSiNi PBE optimized geometry
# Volume: 176 Å³/cell
# DOS(E_F): 0.918 states/eV/atom
# Final energy: -7.02 eV/atom
# Uncorrected formation energy: -0.8097 eV/atom
data_ThSiNi
_chemical_formula_sum 'Th3 Si3 Ni3'
_cell_length_a 4.0997
_cell_length_b 4.0997
_cell_length_c 12.0820
_cell_angle_alpha 90.00
_cell_angle_beta 90.00
_cell_angle_gamma 120.00
_symmetry_space_group_name_H-M 'P 1'
_symmetry_Int_Tables_number 1
_symmetry_space_group_name_Hall 'P 1'
loop_
_atom_site_label
_atom_site_fract_x
_atom_site_fract_y
_atom_site_fract_z
_atom_site_occupancy
Th1 0.0000 0.0000 0.0000 1
Th2 0.0000 0.0000 0.3332 1
Th3 0.0000 0.0000 0.6668 1
Si1 0.3333 0.6667 0.1652 1
Si2 0.3333 0.6667 0.8348 1
Si3 0.6667 0.3333 0.5000 1
Ni1 0.3333 0.6667 0.5000 1
Ni2 0.6667 0.3333 0.1730 1
Ni3 0.6667 0.3333 0.8270 1

# ThZnSn2 PBE optimized geometry
# Volume: 100 Å³/cell
# DOS(E_F): 0.610 states/eV/atom
# Formation energy from the elements: -228 meV/atom
# Final energy: -4.40 eV/atom
data_ThZnSn2
_chemical_formula_sum 'Th1 Zn1 Sn2'
_cell_length_a 3.8085
_cell_length_b 3.8085
_cell_length_c 6.9115
_cell_angle_alpha 90.00
_cell_angle_beta 90.00
_cell_angle_gamma 90.00
_symmetry_space_group_name_H-M 'P 1'
_symmetry_Int_Tables_number 1
_symmetry_space_group_name_Hall 'P 1'
loop_
_atom_site_label
_atom_site_fract_x
_atom_site_fract_y
_atom_site_fract_z
_atom_site_occupancy
Th1 0.0000 0.0000 0.0000 1
Zn1 0.0000 0.0000 0.5000 1
Sn1 0.5000 0.5000 0.2899 1
Sn2 0.5000 0.5000 0.7101 1

# Er4HgPbSe2 PBE optimized geometry
# Volume: 208 Å³/cell
# DOS(E_F): 0.451 states/eV/atom
# Final energy: -4.72 eV/atom
# Uncorrected formation energy: -1.0692 eV/atom
data_Er4HgPbSe2
_chemical_formula_sum 'Er4 Hg1 Pb1 Se2'
_cell_length_a 6.8657
_cell_length_b 3.9401
_cell_length_c 7.9999
_cell_angle_alpha 90.00
_cell_angle_beta 106.37
_cell_angle_gamma 90.00
_symmetry_space_group_name_H-M 'P 1'
_symmetry_Int_Tables_number 1
_symmetry_space_group_name_Hall 'P 1'
loop_
_atom_site_label
_atom_site_fract_x
_atom_site_fract_y
_atom_site_fract_z
_atom_site_occupancy
Er1 0.2343 0.0000 0.2234 1
Er2 0.2541 0.5000 0.7747 1
Er3 0.7459 0.5000 0.2253 1
Er4 0.7657 0.0000 0.7766 1
Hg1 0.0000 0.0000 0.5000 1
Pb1 0.5000 0.5000 0.5000 1
Se1 0.0000 0.5000 0.0000 1
Se2 0.5000 0.0000 0.0000 1

# SnBiBO5 PBE optimized geometry
# Volume: 191 Å³/cell
# DOS(E_F): 0.000 states/eV/atom
# Final energy: -6.57 eV/atom
# Uncorrected formation energy: -1.6500 eV/atom
data_SnBiBO5
_chemical_formula_sum 'Sn2 Bi2 B2 O10'
_cell_length_a 5.5075
_cell_length_b 5.5075
_cell_length_c 7.0840
_cell_angle_alpha 103.17
_cell_angle_beta 103.17
_cell_angle_gamma 106.50
_symmetry_space_group_name_H-M 'P 1'
_symmetry_Int_Tables_number 1
_symmetry_space_group_name_Hall 'P 1'
loop_
_atom_site_label
_atom_site_fract_x
_atom_site_fract_y
_atom_site_fract_z
_atom_site_occupancy
Sn1 0.0000 0.0000 0.0000 1
Sn2 0.0000 0.0000 0.5000 1
Bi1 0.3505 0.6495 0.7500 1
Bi2 0.6495 0.3505 0.2500 1
B1 0.3151 0.6849 0.2500 1
B2 0.6849 0.3151 0.7500 1
O1 0.0911 0.9089 0.7500 1
O2 0.1148 0.6772 0.3660 1
O3 0.2575 0.4162 0.0930 1
O4 0.3228 0.8852 0.1340 1
O5 0.4162 0.2575 0.5930 1
O6 0.5838 0.7425 0.4070 1
O7 0.6772 0.1148 0.8660 1
O8 0.7425 0.5838 0.9070 1
O9 0.8852 0.3228 0.6340 1
O10 0.9089 0.0911 0.2500 1

# Pm2Dy4Y2Ho PBE optimized geometry
# Volume: 291 Å³/cell
# DOS(E_F): 1.343 states/eV/atom
# Formation energy from the elements: -2 meV/atom
# Final energy: -5.05 eV/atom
data_Pm2Dy4Y2Ho
_chemical_formula_sum 'Pm2 Dy4 Y2 Ho1'
_cell_length_a 9.5218
_cell_length_b 9.5218
_cell_length_c 9.5741
_cell_angle_alpha 115.23
_cell_angle_beta 115.23
_cell_angle_gamma 21.81
_symmetry_space_group_name_H-M 'P 1'
_symmetry_Int_Tables_number 1
_symmetry_space_group_name_Hall 'P 1'
loop_
_atom_site_label
_atom_site_fract_x
_atom_site_fract_y
_atom_site_fract_z
_atom_site_occupancy
Pm1 0.1657 0.1657 0.0003 1
Pm2 0.8343 0.8343 0.9997 1
Dy1 0.0190 0.0190 0.3335 1
Dy2 0.3148 0.3148 0.6647 1
Dy3 0.6852 0.6852 0.3353 1
Dy4 0.9810 0.9810 0.6665 1
Y1 0.3531 0.3531 0.3366 1
Y2 0.6469 0.6469 0.6634 1
Ho1 0.5000 0.5000 0.0000 1

# Pt6RhW2 PBE optimized geometry
# Volume: 139 Å³/cell
# DOS(E_F): 0.921 states/eV/atom
# Formation energy from the elements: -215 meV/atom
# Final energy: -7.94 eV/atom
data_Pt6RhW2
_chemical_formula_sum 'Pt6 Rh1 W2'
_cell_length_a 6.2809
_cell_length_b 6.2809
_cell_length_c 8.3866
_cell_angle_alpha 102.82
_cell_angle_beta 102.82
_cell_angle_gamma 25.58
_symmetry_space_group_name_H-M 'P 1'
_symmetry_Int_Tables_number 1
_symmetry_space_group_name_Hall 'P 1'
loop_
_atom_site_label
_atom_site_fract_x
_atom_site_fract_y
_atom_site_fract_z
_atom_site_occupancy
Pt1 0.0047 0.0047 0.3291 1
Pt2 0.3300 0.3300 0.4410 1
Pt3 0.3321 0.3321 0.1054 1
Pt4 0.6679 0.6679 0.8946 1
Pt5 0.6700 0.6700 0.5590 1
Pt6 0.9953 0.9953 0.6709 1
Rh1 0.0000 0.0000 0.0000 1
W1 0.3336 0.3336 0.7785 1
W2 0.6664 0.6664 0.2215 1

# Nb6HC3N2 PBE optimized geometry
# Volume: 134 Å³/cell
# DOS(E_F): 0.382 states/eV/atom
# Final energy: -9.66 eV/atom
data_Nb6HC3N2
_chemical_formula_sum 'Nb6 H1 C3 N2'
_cell_length_a 5.4922
_cell_length_b 5.4922
_cell_length_c 5.4643
_cell_angle_alpha 99.85
_cell_angle_beta 99.85
_cell_angle_gamma 119.93
_symmetry_space_group_name_H-M 'P 1'
_symmetry_Int_Tables_number 1
_symmetry_space_group_name_Hall 'P 1'
loop_
_atom_site_label
_atom_site_fract_x
_atom_site_fract_y
_atom_site_fract_z
_atom_site_occupancy
Nb1 0.0770 0.4157 0.7402 1
Nb2 0.2432 0.2432 0.2618 1
Nb3 0.4157 0.0770 0.7402 1
Nb4 0.5843 0.9230 0.2598 1
Nb5 0.7568 0.7568 0.7382 1
Nb6 0.9230 0.5843 0.2598 1
H1 0.5000 0.5000 0.0000 1
C1 0.0000 0.0000 0.5000 1
C2 0.3342 0.6658 0.5000 1
C3 0.6658 0.3342 0.5000 1
N1 0.1664 0.8336 0.0000 1
N2 0.8336 0.1664 0.0000 1

# ZnTe2PtO PBE optimized geometry
# Volume: 103 Å³/cell
# DOS(E_F): 1.155 states/eV/atom
# Final energy: -3.50 eV/atom
# Uncorrected formation energy: 0.2067 eV/atom
data_ZnTe2PtO
_chemical_formula_sum 'Zn1 Te2 Pt1 O1'
_cell_length_a 5.4112
_cell_length_b 5.4112
_cell_length_c 3.5032
_cell_angle_alpha 90.00
_cell_angle_beta 90.00
_cell_angle_gamma 90.00
_symmetry_space_group_name_H-M 'P 1'
_symmetry_Int_Tables_number 1
_symmetry_space_group_name_Hall 'P 1'
loop_
_atom_site_label
_atom_site_fract_x
_atom_site_fract_y
_atom_site_fract_z
_atom_site_occupancy
Zn1 0.0000 0.0000 0.0000 1
Te1 0.0000 0.5000 0.0000 1
Te2 0.5000 0.0000 0.0000 1
Pt1 0.5000 0.5000 0.5000 1
O1 0.0000 0.0000 0.5000 1

# NaIn5S8 PBE optimized geometry
# Volume: 339 Å³/cell
# DOS(E_F): 0.244 states/eV/atom
# Final energy: -4.05 eV/atom
# Uncorrected formation energy: -0.6235 eV/atom
data_NaIn5S8
_chemical_formula_sum 'Na1 In5 S8'
_cell_length_a 7.8235
_cell_length_b 7.8235
_cell_length_c 7.8235
_cell_angle_alpha 60.00
_cell_angle_beta 60.00
_cell_angle_gamma 60.00
_symmetry_space_group_name_H-M 'P 1'
_symmetry_Int_Tables_number 1
_symmetry_space_group_name_Hall 'P 1'
loop_
_atom_site_label
_atom_site_fract_x
_atom_site_fract_y
_atom_site_fract_z
_atom_site_occupancy
Na1 0.0000 0.0000 0.0000 1
In1 0.3683 0.3683 0.3683 1
In2 0.3683 0.3683 0.8951 1
In3 0.3683 0.8951 0.3683 1
In4 0.7500 0.7500 0.7500 1
In5 0.8951 0.3683 0.3683 1
S1 0.1349 0.1349 0.1349 1
S2 0.1349 0.1349 0.5954 1
S3 0.1349 0.5954 0.1349 1
S4 0.1528 0.6157 0.6157 1
S5 0.5954 0.1349 0.1349 1
S6 0.6157 0.1528 0.6157 1
S7 0.6157 0.6157 0.1528 1
S8 0.6157 0.6157 0.6157 1

# Eu2ThHg PBE optimized geometry
# Volume: 129 Å³/cell
# DOS(E_F): 1.252 states/eV/atom
# Energy above the most stable polymorph in this dataset: 0 meV/atom
# Formation energy from the elements: -125 meV/atom
# Final energy: -7.19 eV/atom
data_Eu2ThHg
_chemical_formula_sum 'Eu2 Th1 Hg1'
_cell_length_a 3.6973
_cell_length_b 3.6973
_cell_length_c 9.4588
_cell_angle_alpha 90.00
_cell_angle_beta 90.00
_cell_angle_gamma 90.00
_symmetry_space_group_name_H-M 'P 1'
_symmetry_Int_Tables_number 1
_symmetry_space_group_name_Hall 'P 1'
loop_
_atom_site_label
_atom_site_fract_x
_atom_site_fract_y
_atom_site_fract_z
_atom_site_occupancy
Eu1 0.0000 0.0000 0.2195 1
Eu2 0.0000 0.0000 0.7805 1
Th1 0.5000 0.5000 0.5000 1
Hg1 0.5000 0.5000 0.0000 1

# Np2FeSi3 PBE optimized geometry
# Volume: 97 Å³/cell
# DOS(E_F): 1.315 states/eV/atom
# Final energy: -8.74 eV/atom
# Uncorrected formation energy: -0.3013 eV/atom
data_Np2FeSi3
_chemical_formula_sum 'Np2 Fe1 Si3'
_cell_length_a 5.3177
_cell_length_b 5.3177
_cell_length_c 5.8901
_cell_angle_alpha 121.59
_cell_angle_beta 121.59
_cell_angle_gamma 44.88
_symmetry_space_group_name_H-M 'P 1'
_symmetry_Int_Tables_number 1
_symmetry_space_group_name_Hall 'P 1'
loop_
_atom_site_label
_atom_site_fract_x
_atom_site_fract_y
_atom_site_fract_z
_atom_site_occupancy
Np1 0.0000 0.0000 0.0000 1
Np2 0.0831 0.0831 0.6818 1
Fe1 0.3913 0.3913 0.2127 1
Si1 0.3426 0.3426 0.5655 1
Si2 0.6756 0.6756 0.4501 1
Si3 0.7508 0.7508 0.1130 1